Zr4FeCoP2 GGA-PBE optimized geometry; electronic total energy = -0.619 Ry/atom; volume = 16.76 Å³ per atom; density = 6.7 Mg/m³
1.0
5.268 0.000 0.000
0.000 3.650 0.000
-2.575 0.000 6.974
Zr Fe Co P
4 1 1 2
direct
0.000 0.000 0.000
0.066 0.500 0.643
0.519 0.000 0.516
0.589 0.500 0.165
0.933 0.000 0.369
0.649 0.500 0.795
0.153 0.500 0.292
0.436 0.000 0.869

=====

Pa2FeCo GGA-PBE optimized geometry; electronic total energy = -0.657 Ry/atom; volume = 18.25 Å³ per atom; density = 13.1 Mg/m³; energy of formation = -1.365 eV/f.u.
1.0
5.729 0.000 0.000
0.000 3.735 0.000
-2.402 0.000 6.824
Pa Fe Co
4 2 2
direct
0.230 0.250 0.430
0.231 0.250 0.939
0.769 0.750 0.061
0.770 0.750 0.570
0.301 0.750 0.205
0.699 0.250 0.795
0.308 0.750 0.703
0.692 0.250 0.297

=====

FeCoPdPb GGA-PBE optimized geometry; electronic total energy = -0.428 Ry/atom; volume = 15.70 Å³ per atom; density = 11.3 Mg/m³; energy above the lowest structure with this stoichiometry = 0.0000 eV per atom
1.0
0.000 3.155 3.155
3.155 0.000 3.155
3.155 3.155 0.000
Fe Co Pd Pb
1 1 1 1
direct
0.000 0.000 0.000
0.750 0.750 0.750
0.250 0.250 0.250
0.500 0.500 0.500

=====

FeCoRePb GGA-PBE optimized geometry; electronic total energy = -0.530 Ry/atom; volume = 14.74 Å³ per atom; density = 14.3 Mg/m³; energy above the lowest structure with this stoichiometry = 0.0000 eV per atom
1.0
0.000 3.089 3.089
3.089 0.000 3.089
3.089 3.089 0.000
Fe Co Re Pb
1 1 1 1
direct
0.000 0.000 0.000
0.500 0.500 0.500
0.750 0.750 0.750
0.250 0.250 0.250

=====

FeCoPbS3 GGA-PBE optimized geometry; electronic total energy = -0.405 Ry/atom; volume = 17.29 Å³ per atom; density = 6.7 Mg/m³; energy above the lowest structure with this stoichiometry = 0.0000 eV per atom
1.0
1.749 -6.649 0.000
1.749 6.649 0.000
0.000 0.000 8.921
Fe Co Pb S
2 2 2 6
direct
0.000 0.000 0.000
0.000 0.000 0.500
0.467 0.533 0.750
0.533 0.467 0.250
0.242 0.758 0.250
0.758 0.242 0.750
0.062 0.938 0.750
0.381 0.619 0.541
0.381 0.619 0.959
0.619 0.381 0.041
0.619 0.381 0.459
0.938 0.062 0.250

=====

FeCoPbS3 GGA-PBE optimized geometry; electronic total energy = -0.405 Ry/atom; volume = 17.69 Å³ per atom; density = 6.5 Mg/m³; energy above the lowest structure with this stoichiometry = 0.0034 eV per atom
1.0
1.759 -6.724 0.000
1.759 6.724 0.000
0.000 0.000 8.976
Fe Co Pb S
2 2 2 6
direct
0.033 0.967 0.750
0.967 0.033 0.250
0.500 0.500 0.000
0.500 0.500 0.500
0.260 0.740 0.250
0.740 0.260 0.750
0.117 0.883 0.537
0.117 0.883 0.963
0.435 0.565 0.750
0.565 0.435 0.250
0.883 0.117 0.037
0.883 0.117 0.463

=====

FeCoPbSe3 GGA-PBE optimized geometry; electronic total energy = -0.375 Ry/atom; volume = 19.94 Å³ per atom; density = 7.8 Mg/m³
1.0
1.801 -6.772 0.000
1.801 6.772 0.000
0.000 0.000 9.806
Fe Co Pb Se
2 2 2 6
direct
0.000 0.000 0.000
0.000 0.000 0.500
0.445 0.555 0.750
0.555 0.445 0.250
0.228 0.772 0.250
0.772 0.228 0.750
0.054 0.946 0.750
0.376 0.624 0.529
0.376 0.624 0.971
0.624 0.376 0.029
0.624 0.376 0.471
0.946 0.054 0.250

=====

FeCoPbSe3 GGA-PBE optimized geometry; electronic total energy = -0.375 Ry/atom; volume = 20.18 Å³ per atom; density = 7.7 Mg/m³
1.0
1.796 -7.003 0.000
1.796 7.003 0.000
0.000 0.000 9.622
Fe Co Pb Se
2 2 2 6
direct
0.045 0.955 0.750
0.955 0.045 0.250
0.500 0.500 0.000
0.500 0.500 0.500
0.272 0.728 0.250
0.728 0.272 0.750
0.119 0.881 0.529
0.119 0.881 0.971
0.433 0.567 0.750
0.567 0.433 0.250
0.881 0.119 0.029
0.881 0.119 0.471

=====

TaFeCoPb GGA-PBE optimized geometry; electronic total energy = -0.529 Ry/atom; volume = 16.02 Å³ per atom; density = 13.0 Mg/m³; energy above the lowest structure with this stoichiometry = 0.3184 eV per atom
1.0
0.000 3.176 3.176
3.176 0.000 3.176
3.176 3.176 0.000
Ta Fe Co Pb
1 1 1 1
direct
0.000 0.000 0.000
0.750 0.750 0.750
0.500 0.500 0.500
0.250 0.250 0.250

=====

TaFeCoPb GGA-PBE optimized geometry; electronic total energy = -0.552 Ry/atom; volume = 15.22 Å³ per atom; density = 13.7 Mg/m³; energy above the lowest structure with this stoichiometry = 0.0000 eV per atom
1.0
0.000 3.123 3.123
3.123 0.000 3.123
3.123 3.123 0.000
Ta Fe Co Pb
1 1 1 1
direct
0.000 0.000 0.000
0.250 0.250 0.250
0.750 0.750 0.750
0.500 0.500 0.500

=====

TaFeCoPb GGA-PBE optimized geometry; electronic total energy = -0.523 Ry/atom; volume = 16.03 Å³ per atom; density = 13.0 Mg/m³; energy above the lowest structure with this stoichiometry = 0.3965 eV per atom
1.0
0.000 3.177 3.177
3.177 0.000 3.177
3.177 3.177 0.000
Ta Fe Co Pb
1 1 1 1
direct
0.000 0.000 0.000
0.500 0.500 0.500
0.750 0.750 0.750
0.250 0.250 0.250

=====

FeCoTe3Pb GGA-PBE optimized geometry; electronic total energy = -0.351 Ry/atom; volume = 23.66 Å³ per atom; density = 8.2 Mg/m³; energy above the lowest structure with this stoichiometry = 0.0000 eV per atom
1.0
1.863 -7.068 0.000
1.863 7.068 0.000
0.000 0.000 10.780
Fe Co Te Pb
2 2 6 2
direct
0.108 0.892 0.750
0.892 0.108 0.250
0.500 0.500 0.000
0.500 0.500 0.500
0.123 0.877 0.514
0.123 0.877 0.986
0.482 0.518 0.750
0.518 0.482 0.250
0.877 0.123 0.014
0.877 0.123 0.486
0.244 0.756 0.250
0.756 0.244 0.750